# 1
TbPm5Dy2Ho: optimized geometry, GGA-PBE.

D(E_F): 1.59 states/eV per atom
DFT total energy: -81.7 eV for the cell shown
Calculated volume: 304.90 Å³/f.u.
Energy relative to the elements: 0.1454 eV per atom
SG: Cmc2_1

a b c (Å): 5.6527 10.5060 10.6615
angles (deg): 90.00 90.00 105.61
Last column: nearest neighbours and their distance in Å.
Atoms (fractional coordinates):
Tb (0.5898, 0.1796, 0.9590)  5 Pm 3.06-3.34
Tb (0.4102, 0.8204, 0.4590)  5 Pm 3.06-3.34
Pm (0.3867, 0.7733, 0.0224)  6 Pm 3.55-3.87, 4 Dy 3.59-3.64, 1 Ho 3.80
Pm (0.7195, 0.4390, 0.8120)  1 Tb 3.06, 1 Dy 3.34
Pm (0.4811, 0.9622, 0.7422)  2 Tb 3.19-3.34, 2 Dy 3.52, 2 Pm 3.55-3.56
Pm (0.2977, 0.5955, 0.7065)  4 Pm 3.43-3.82, 1 Tb 3.48, 3 Ho 3.51-3.81, 3 Dy 3.52-3.77
Pm (0.9830, 0.9661, 0.5195)  2 Tb 3.25, 3 Dy 3.46-3.57
Pm (0.6133, 0.2267, 0.5224)  6 Pm 3.55-3.87, 4 Dy 3.59-3.64, 1 Ho 3.80
Pm (0.2805, 0.5610, 0.3120)  1 Tb 3.06, 1 Dy 3.34
Pm (0.5189, 0.0378, 0.2422)  2 Tb 3.19-3.34, 2 Dy 3.52, 2 Pm 3.55-3.56
Pm (0.7023, 0.4045, 0.2065)  4 Pm 3.43-3.82, 1 Tb 3.48, 3 Ho 3.51-3.81, 3 Dy 3.52-3.77
Pm (0.0170, 0.0339, 0.0195)  2 Tb 3.25, 3 Dy 3.46-3.57
Dy (0.8847, 0.7694, 0.8146)  9 Pm 3.34-3.72, 1 Ho 3.66
Dy (0.1120, 0.2239, 0.7371)  1 Ho 3.41, 7 Pm 3.49-3.77, 2 Tb 3.71
Dy (0.1153, 0.2306, 0.3146)  9 Pm 3.34-3.72, 1 Ho 3.66
Dy (0.8880, 0.7761, 0.2371)  1 Ho 3.41, 7 Pm 3.49-3.77, 2 Tb 3.71
Ho (0.8008, 0.6017, 0.5106)  2 Dy 3.41-3.66, 8 Pm 3.51-3.81, 2 Tb 3.63
Ho (0.1992, 0.3983, 0.0106)  2 Dy 3.41-3.66, 8 Pm 3.51-3.81, 2 Tb 3.63

# 2
Ca6In5Bi: optimized geometry, GGA-PBE.

D(E_F): 0.40 states/eV per atom
DFT total energy: -35.8 eV for the cell shown
Calculated volume: 350.89 Å³/f.u.
Energy relative to the elements: -0.5153 eV per atom
SG: P2/m

a b c (Å): 5.5214 7.5888 8.8219
angles (deg): 90.00 71.67 90.00
Last column: nearest neighbours and their distance in Å.
Atoms (fractional coordinates):
Ca (0.8351, 0.7471, 0.3306)  7 In 3.24-3.37, 1 Bi 3.37
Ca (0.8351, 0.2529, 0.3306)  7 In 3.24-3.37, 1 Bi 3.37
Ca (0.5000, 0.2463, 0.0000)  2 Bi 3.33, 6 In 3.37-3.53
Ca (0.5000, 0.7537, 0.0000)  2 Bi 3.33, 6 In 3.37-3.53
Ca (0.1649, 0.7471, 0.6694)  7 In 3.24-3.37, 1 Bi 3.37
Ca (0.1649, 0.2529, 0.6694)  7 In 3.24-3.37, 1 Bi 3.37
Bi (0.0000, 0.0000, 0.0000)  8 Ca 3.33-3.37
In (0.6669, 0.5000, 0.6645)  8 Ca 3.34-3.41
In (0.3216, 0.0000, 0.3577)  8 Ca 3.24-3.53
In (0.0000, 0.5000, 0.0000)  8 Ca 3.34-3.37
In (0.6784, 0.0000, 0.6423)  8 Ca 3.24-3.53
In (0.3331, 0.5000, 0.3355)  8 Ca 3.34-3.41

# 3
YUAlO6: optimized geometry, GGA-PBE.

D(E_F): 0.00 states/eV per atom
DFT total energy: -159.6 eV for the cell shown
Calculated volume: 118.07 Å³/f.u.
SG: P-31c

a b c (Å): 5.2855 5.2855 9.7605
angles (deg): 90.00 90.00 120.00
Last column: nearest neighbours and their distance in Å.
Atoms (fractional coordinates):
Y (0.0000, 0.0000, 0.0000)  6 O 2.32
Y (0.0000, 0.0000, 0.5000)  6 O 2.32
U (0.6667, 0.3333, 0.2500)  6 O 2.09
U (0.3333, 0.6667, 0.7500)  6 O 2.09
Al (0.3333, 0.6667, 0.2500)  6 O 1.94
Al (0.6667, 0.3333, 0.7500)  6 O 1.94
O (0.6345, 0.6564, 0.1402)  1 Al 1.94, 1 U 2.09
O (0.0219, 0.3655, 0.1402)  1 Al 1.94, 1 U 2.09
O (0.3655, 0.0219, 0.6402)  1 Al 1.94, 1 U 2.09
O (0.9781, 0.6345, 0.8598)  1 Al 1.94, 1 U 2.09
O (0.3436, 0.3655, 0.3598)  1 Al 1.94, 1 U 2.09
O (0.0219, 0.6564, 0.3598)  1 Al 1.94, 1 U 2.09
O (0.6564, 0.0219, 0.8598)  1 Al 1.94, 1 U 2.09
O (0.6345, 0.9781, 0.3598)  1 Al 1.94, 1 U 2.09
O (0.9781, 0.3436, 0.6402)  1 Al 1.94, 1 U 2.09
O (0.3436, 0.9781, 0.1402)  1 Al 1.94, 1 U 2.09
O (0.6564, 0.6345, 0.6402)  1 Al 1.94, 1 U 2.09
O (0.3655, 0.3436, 0.8598)  1 Al 1.94, 1 U 2.09

# 4
ScHBrCl: optimized geometry, GGA-PBE.

D(E_F): 0.00 states/eV per atom
DFT total energy: -18.3 eV for the cell shown
Calculated volume: 87.56 Å³/f.u.
SG: R3m

a b c (Å): 3.6977 3.6980 7.6946
angles (deg): 76.14 76.10 60.00
Last column: nearest neighbours and their distance in Å.
Atoms (fractional coordinates):
Sc (0.1075, 0.3920, 0.3930)  3 H 2.15
H (0.7625, 0.0471, 0.4280)  3 Sc 2.15
Br (0.9982, 0.2843, 0.7192)  1 Sc 2.41
Cl (0.5098, 0.7937, 0.1866)  3 Sc 2.62, 3 H 2.78

# 5
HoMgTl: optimized geometry, GGA-PBE.

D(E_F): 0.71 states/eV per atom
DFT total energy: -8.9 eV for the cell shown
Calculated volume: 78.04 Å³/f.u.
Energy relative to the elements: -0.1360 eV per atom
SG: I4mm

a b c (Å): 3.4525 3.4525 6.9872
angles (deg): 104.30 104.30 90.00
Last column: nearest neighbours and their distance in Å.
Atoms (fractional coordinates):
Mg (0.6252, 0.6252, 0.2504)  4 Tl 3.15, 4 Ho 3.37, 4 Mg 3.45
Tl (0.2772, 0.2772, 0.5544)  4 Mg 3.15, 4 Ho 3.31, 4 Tl 3.45
Ho (0.9476, 0.9476, 0.8952)  4 Tl 3.31, 4 Mg 3.37, 4 Ho 3.45

# 6
MnGeTe3: optimized geometry, GGA-PBE.

D(E_F): 0.58 states/eV per atom
DFT total energy: -21.3 eV for the cell shown
Calculated volume: 140.26 Å³/f.u.
SG: Pm-3m

a b c (Å): 5.1958 5.1958 5.1958
angles (deg): 90.00 90.00 90.00
Last column: nearest neighbours and their distance in Å.
Atoms (fractional coordinates):
Ge (0.5000, 0.5000, 0.5000)  12 Te 3.67
Te (0.0000, 0.5000, 0.0000)  2 Mn 2.60
Te (0.0000, 0.0000, 0.5000)  2 Mn 2.60
Te (0.5000, 0.0000, 0.0000)  2 Mn 2.60
Mn (0.0000, 0.0000, 0.0000)  6 Te 2.60

# 7
NaHoInPb: optimized geometry, GGA-PBE.

D(E_F): 0.52 states/eV per atom
DFT total energy: -13.3 eV for the cell shown
Calculated volume: 109.01 Å³/f.u.
Energy relative to the elements: -0.2403 eV per atom
SG: F-43m

a b c (Å): 5.3621 5.3621 5.3621
angles (deg): 60.00 60.00 60.00
Last column: nearest neighbours and their distance in Å.
Atoms (fractional coordinates):
Pb (0.0000, 0.0000, 0.0000)  4 Na 3.28, 4 Ho 3.28
Na (0.2500, 0.2500, 0.2500)  4 In 3.28, 4 Pb 3.28
Ho (0.7500, 0.7500, 0.7500)  4 In 3.28, 4 Pb 3.28
In (0.5000, 0.5000, 0.5000)  4 Na 3.28, 4 Ho 3.28

# 8
Lu10Al4Ge11: optimized geometry, GGA-PBE.

D(E_F): 0.48 states/eV per atom
DFT total energy: -128.0 eV for the cell shown
Calculated volume: 512.45 Å³/f.u.
Energy relative to the elements: -0.6793 eV per atom
SG: C2/m

a b c (Å): 5.5521 5.5521 24.7235
angles (deg): 83.39 83.39 42.66
Last column: nearest neighbours and their distance in Å.
Atoms (fractional coordinates):
Lu (0.3475, 0.3475, 0.9432)  8 Ge 2.94-3.04
Lu (0.1292, 0.1292, 0.5425)  6 Ge 2.96-3.00, 2 Al 3.17
Lu (0.7395, 0.7395, 0.7417)  6 Ge 2.97-3.00, 2 Al 3.15
Lu (0.9073, 0.9073, 0.1445)  6 Ge 2.94-3.01, 2 Al 3.19
Lu (0.5187, 0.5187, 0.3434)  6 Ge 2.96-3.00, 2 Al 3.16
Lu (0.0927, 0.0927, 0.8555)  6 Ge 2.94-3.01, 2 Al 3.19
Lu (0.8708, 0.8708, 0.4575)  6 Ge 2.96-3.00, 2 Al 3.17
Lu (0.4813, 0.4813, 0.6566)  6 Ge 2.96-3.00, 2 Al 3.16
Lu (0.6525, 0.6525, 0.0568)  8 Ge 2.94-3.04
Lu (0.2605, 0.2605, 0.2583)  6 Ge 2.97-3.00, 2 Al 3.15
Al (0.5848, 0.5848, 0.2025)  4 Ge 2.63
Al (0.1945, 0.1945, 0.4003)  4 Ge 2.63
Al (0.8055, 0.8055, 0.5997)  4 Ge 2.63
Al (0.4152, 0.4152, 0.7975)  4 Ge 2.63
Ge (0.6350, 0.6350, 0.9391)  3 Ge 2.57-2.79
Ge (0.4152, 0.4152, 0.5431)  1 Ge 2.59, 2 Al 2.63
Ge (0.0274, 0.0274, 0.7417)  1 Ge 2.57, 2 Al 2.63
Ge (0.1915, 0.1915, 0.1451)  1 Ge 2.57, 2 Al 2.63
Ge (0.8045, 0.8045, 0.3440)  1 Ge 2.57, 2 Al 2.63
Ge (0.8085, 0.8085, 0.8549)  1 Ge 2.57, 2 Al 2.63
Ge (0.5848, 0.5848, 0.4569)  1 Ge 2.59, 2 Al 2.63
Ge (0.1955, 0.1955, 0.6560)  1 Ge 2.57, 2 Al 2.63
Ge (0.3650, 0.3650, 0.0609)  3 Ge 2.57-2.79
Ge (0.9726, 0.9726, 0.2583)  1 Ge 2.57, 2 Al 2.63
Ge (0.0000, 0.0000, 0.0000)  4 Ge 2.79, 4 Lu 3.01